*P*
BaLi3Ag: relaxed, GGA-PBE.

Cell: 4.5705 7.7289 8.0217 Å, 74.79 90.00 90.00°
Last column: nearest neighbours and their distance in Å.
Positions (direct):
1 Ag 0.8810 0.8728 0.1461  7 Li 2.66-2.87
2 Ag 0.3810 0.8021 0.6611  7 Li 2.66-2.87
3 Ba 0.8810 0.1466 0.5884  2 Ag 3.44, 9 Li 3.58-3.81
4 Ba 0.3810 0.5285 0.2159  2 Ag 3.44, 9 Li 3.57-3.81
5 Li 0.8810 0.2287 0.0337  1 Ag 2.66
6 Li 0.3810 0.9780 0.3001  3 Ag 2.82-2.86, 1 Li 2.93
7 Li 0.8810 0.6951 0.5075  3 Ag 2.82-2.86, 1 Li 2.92
8 Li 0.8810 0.7006 0.8702  3 Ag 2.82-2.87, 1 Li 2.92
9 Li 0.3810 0.9758 0.9360  3 Ag 2.83-2.87, 1 Li 2.93
10 Li 0.3810 0.4456 0.7712  1 Ag 2.66

Values from the calculation:
* D(E_F): 5.92 states/eV/cell

---

*Q*
BaLi3Ag: relaxed, GGA-PBE.

Cell: 5.2279 5.2279 5.2279 Å, 90.00 90.00 90.00°
Last column: nearest neighbours and their distance in Å.
Positions (direct):
1 Li 0.0000 0.5000 0.0000  2 Ag 2.61
2 Li 0.0000 0.0000 0.5000  2 Ag 2.61
3 Li 0.5000 0.0000 0.0000  2 Ag 2.61
4 Ba 0.5000 0.5000 0.5000  12 Li 3.70
5 Ag 0.0000 0.0000 0.0000  6 Li 2.61

Values from the calculation:
* D(E_F): 3.60 states/eV/cell

---

We find *P* to be the most stable, with the next structure 6.2 kJ/mol of atoms higher.

---

*P*
BaLi3Ag: relaxed, GGA-PBE.

Cell: 5.8836 5.8836 5.8836 Å, 90.00 90.00 90.00°
Last column: nearest neighbours and their distance in Å.
Positions (direct):
1 Li 0.5000 0.0000 0.0000  2 Ba 2.94
2 Li 0.0000 0.5000 0.0000  2 Ba 2.94
3 Li 0.0000 0.0000 0.5000  2 Ba 2.94
4 Ag 0.5000 0.5000 0.5000  12 Li 4.16
5 Ba 0.0000 0.0000 0.0000  6 Li 2.94

Values from the calculation:
* D(E_F): 6.00 states/eV/cell

---

*Q*
BaLi3Ag: relaxed, GGA-PBE.

Cell: 6.3582 7.1178 7.1174 Å, 120.02 90.00 90.00°
Last column: nearest neighbours and their distance in Å.
Positions (direct):
1 Li 0.2500 0.3518 0.1758  2 Ag 2.69
2 Li 0.7500 0.1758 0.3518  2 Ag 2.69
3 Li 0.7500 0.6482 0.8242  2 Ag 2.69
4 Li 0.7500 0.1760 0.8242  2 Ag 2.69
5 Li 0.2500 0.8241 0.6482  2 Ag 2.69
6 Li 0.2500 0.8241 0.1758  2 Ag 2.69
7 Ba 0.7500 0.6667 0.3335  12 Li 3.56-3.73
8 Ba 0.2500 0.3333 0.6665  12 Li 3.56-3.73
9 Ag 0.5000 0.0000 0.0000  6 Li 2.69
10 Ag 0.0000 0.0000 0.0000  6 Li 2.69

Values from the calculation:
* D(E_F): 6.12 states/eV/cell

---

We find *Q* to be the most stable, with the next structure 104.6 kJ/mol of atoms higher.

---

*P*
Ba3LiAg: relaxed, GGA-PBE.

Cell: 6.5138 6.5138 6.5138 Å, 90.00 90.00 90.00°
Last column: nearest neighbours and their distance in Å.
Positions (direct):
1 Ba 0.0000 0.5000 0.0000  2 Ag 3.26
2 Ba 0.0000 0.0000 0.5000  2 Ag 3.26
3 Ba 0.5000 0.0000 0.0000  2 Ag 3.26
4 Li 0.5000 0.5000 0.5000  12 Ba 4.61
5 Ag 0.0000 0.0000 0.0000  6 Ba 3.26

Values from the calculation:
* D(E_F): 4.58 states/eV/cell

---

*Q*
Ba3LiAg: relaxed, GGA-PBE.

Cell: 4.4972 10.2699 9.7845 Å, 90.00 90.22 90.00°
Last column: nearest neighbours and their distance in Å.
Positions (direct):
1 Li 0.7503 0.7500 0.3435  2 Ag 2.79
2 Li 0.2497 0.2500 0.6565  2 Ag 2.79
3 Ba 0.7456 0.2500 0.9889  2 Li 3.94-3.97, 2 Ba 4.28
4 Ba 0.7522 0.9556 0.6797  3 Ag 3.49-3.56, 3 Li 3.77-3.91
5 Ba 0.2478 0.4556 0.3203  3 Ag 3.49-3.56, 3 Li 3.77-3.91
6 Ba 0.7522 0.5444 0.6797  3 Ag 3.49-3.56, 3 Li 3.77-3.91
7 Ba 0.2544 0.7500 0.0111  2 Li 3.94-3.97, 2 Ba 4.28
8 Ba 0.2478 0.0444 0.3203  3 Ag 3.49-3.56, 3 Li 3.77-3.91
9 Ag 0.7488 0.2500 0.4877  2 Li 2.79
10 Ag 0.2512 0.7500 0.5123  2 Li 2.79

Values from the calculation:
* D(E_F): 11.97 states/eV/cell

---

We find *Q* to be the most stable, with the next structure 8.2 kJ/mol of atoms higher.